## InRe2P (PBE)

Data for an optimized crystal structure of InRe2P.

```
4
Lattice="3.0677 0.0000 0.0000 0.0000 4.3521 0.0000 0.0000 0.0000 4.8619" Properties=species:S:1:pos:R:3 pbc="T T T"
In 0.0000 0.0000 0.0000
Re 0.0000 2.1761 2.4309
Re 1.5338 2.1761 0.0000
P 1.5338 0.0000 2.4309
```

## Properties
The energy above the most stable polymorph in this dataset is 662 meV per atom. Its energy of formation from the pure elements is 0.81 eV per atom.

---

## In2ReP (PBE)

Data for an optimized crystal structure of In2ReP.

```
4
Lattice="4.7431 0.0000 0.0000 0.0000 4.7431 0.0000 0.0000 0.0000 3.2887" Properties=species:S:1:pos:R:3 pbc="T T T"
In 0.0000 2.3715 0.0000
In 2.3715 0.0000 0.0000
Re 0.0000 0.0000 1.6444
P 2.3715 2.3715 1.6444
```

## Properties
Its energy of formation from the pure elements is 0.68 eV per atom.

---

## InReP2 (PBE)

Data for an optimized crystal structure of InReP2.

```
4
Lattice="3.6627 0.0000 0.0000 0.0000 4.1752 0.0000 -0.0059 0.0000 4.6157" Properties=species:S:1:pos:R:3 pbc="T T T"
In 0.0000 0.0000 0.0000
Re 1.8284 0.0000 2.3078
P 1.8313 2.0876 1.0755
P 1.8255 2.0876 3.5402
```

## Properties
Its energy of formation from the pure elements is 0.18 eV per atom.

---

## In2ReP (PBE)

Data for an optimized crystal structure of In2ReP.

```
4
Lattice="7.5946 -1.4863 0.0000 7.5946 1.4863 0.0000 -0.9794 0.0000 3.7394" Properties=species:S:1:pos:R:3 pbc="T T T"
In 2.5026 0.0000 0.6565
In 11.7072 0.0000 3.0829
Re 7.5946 0.0000 0.0000
P -0.4897 0.0000 1.8697
```

## Properties
Its energy of formation from the pure elements is 0.28 eV per atom.

---

Final energy: -7.46; -5.15; -6.32; -5.55 (eV per atom)